A relaxed NiHgO2F crystal, computed with PBE+U.

Calculated values
Final energy ... -3.523 eV per atom
Size of the total moment ... 1.67 μB per cell
D(E_F) ... 2.33 states/eV per cell
ρ ... 8.77 Mg/m³

Geometry as POSCAR:
```
NiHgO2F
1.0
3.878 0.000 0.000
0.000 3.878 0.000
0.000 0.000 3.908
Ni Hg O F
1 1 2 1
Cartesian
0.000 0.000 0.000
1.939 1.939 1.954
0.000 1.939 0.000
1.939 0.000 0.000
0.000 0.000 1.954
```